SrTcO3 | OQMD | PBE-GGA | optimized geometry; space-group type = Pnma (62); uncorrected energy = -7.417 eV/atom; density = 6.268 g/cm3
1.0
5.587 0.000 0.000
0.000 5.596 0.000
0.000 0.000 7.918
O Sr Tc
12 4 4
Direct
0.718 0.281 0.026
0.782 0.781 0.026
0.051 0.493 0.250
0.449 0.993 0.250
0.718 0.281 0.474
0.782 0.781 0.474
0.218 0.219 0.526
0.282 0.719 0.526
0.551 0.007 0.750
0.949 0.507 0.750
0.218 0.219 0.974
0.282 0.719 0.974
0.997 0.023 0.250
0.503 0.523 0.250
0.497 0.477 0.750
0.003 0.977 0.750
0.500 0.000 0.000
0.000 0.500 0.000
0.500 0.000 0.500
0.000 0.500 0.500

***

K2RbTmF6 | OQMD | PBE-GGA | optimized geometry; space-group type = P-1 (2); uncorrected energy = -5.188 eV/atom; density = 4.229 g/cm3
1.0
-1.983 5.358 -2.297
-2.973 -5.224 -1.470
-0.865 -1.150 6.188
F K Rb Tm
6 2 1 1
Direct
0.977 0.683 0.132
0.451 0.153 0.139
0.133 0.208 0.353
0.867 0.792 0.647
0.549 0.847 0.861
0.023 0.317 0.868
0.481 0.749 0.226
0.519 0.251 0.774
0.000 0.500 0.500
0.000 0.000 0.000

***

K2FeWS6 | OQMD | PBE-GGA | optimized geometry; space-group type = Fm-3m (225); uncorrected energy = -5.255 eV/atom; density = 3.932 g/cm3
1.0
0.000 4.759 4.759
4.759 0.000 4.759
4.759 4.759 0.000
Fe K S W
1 2 6 1
Direct
0.000 0.000 0.000
0.250 0.250 0.250
0.750 0.750 0.750
0.750 0.250 0.250
0.250 0.750 0.250
0.750 0.750 0.250
0.250 0.250 0.750
0.750 0.250 0.750
0.250 0.750 0.750
0.500 0.500 0.500

***

Co2W | OQMD | PBE-GGA | optimized geometry; space-group type = P4_2/mnm (136); uncorrected energy = -7.788 eV/atom; density = 9.941 g/cm3; formation energy from the elements = 1270 meV/atom
1.0
-3.140 2.207 4.931
3.630 -3.362 3.816
1.653 1.976 0.168
Co W
4 2
Direct
0.259 0.259 0.000
0.741 0.741 0.000
0.759 0.241 0.500
0.241 0.759 0.500
0.000 0.000 0.000
0.500 0.500 0.500